(1)
# GaGeP2

A geometry-optimized GaGeP2 structure (PBE-GGA, Alexandria).

Output
energy relative to the lowest polymorph listed for this composition: 0.0 meV per atom
E: -4.647 eV/atom
calculated formation energy: -0.0305 eV/atom
total magnetic moment: 0.00 μB/f.u.

Lattice parameters (Å, degrees): 5.5641 5.5641 11.4116 90.00 90.00 90.00
Space group I-42d (No. 122)
Unique sites:
Ga1 0.0000 0.0000 0.0000 [4 per cell]
Ge1 0.0000 0.0000 0.5000 [4 per cell]
P1 0.2397 0.2500 0.1250 [8 per cell]



(2)
# GaGeP

A geometry-optimized GaGeP structure (PBE-GGA, Alexandria).

Output
energy relative to the lowest polymorph listed for this composition: 132.2 meV per atom
E: -4.322 eV/atom
calculated formation energy: 0.0289 eV/atom
total magnetic moment: 0.00 μB/f.u.

Lattice parameters (Å, degrees): 3.5255 5.7664 7.1848 107.43 90.10 107.53
Space group P1 (No. 1)
Unique sites:
Ga1 0.0000 0.0000 0.0000 [1 per cell]
Ga2 0.3493 0.6867 0.3178 [1 per cell]
Ge1 0.5752 0.1457 0.5147 [1 per cell]
Ge2 0.6584 0.3113 0.8851 [1 per cell]
P1 0.1381 0.2726 0.3507 [1 per cell]
P2 0.3259 0.6482 0.9773 [1 per cell]



(3)
# GaGeP

A geometry-optimized GaGeP structure (PBE-GGA, Alexandria).

Output
energy relative to the lowest polymorph listed for this composition: 0.0 meV per atom
E: -4.455 eV/atom
calculated formation energy: -0.1033 eV/atom
total magnetic moment: 0.00 μB/f.u.

Lattice parameters (Å, degrees): 10.7596 3.9929 6.8842 90.00 106.41 90.00
Space group Cm (No. 8)
Unique sites:
Ga1 0.0000 0.0000 0.0000 [2 per cell]
Ga2 0.0641 0.5000 0.5027 [2 per cell]
Ge1 0.2377 0.0000 0.2140 [2 per cell]
Ge2 0.4907 0.5000 0.6398 [2 per cell]
P1 0.2705 0.5000 0.4330 [2 per cell]
P2 0.4400 0.0000 0.1466 [2 per cell]